(1)
## Tm4Sn2Ru (GGA-PBE)

Data for Tm4Sn2Ru after structural relaxation.

abc: 5.9996 5.9996 8.5828
angles: 122.12 122.12 45.57
Sites, in units of the cell vectors:
Tm: 0.0658 0.0658 0.3573
Tm: 0.3335 0.3335 0.9486
Tm: 0.6665 0.6665 0.0514
Tm: 0.9342 0.9342 0.6427
Sn: 0.3324 0.3324 0.3216
Sn: 0.6676 0.6676 0.6784
Ru: 0.0000 0.0000 0.0000

Values from the calculation:
Formation enthalpy at 0 K = -4.04 eV/f.u.
Energy = -5.602 eV/atom
V = 25.749 A^3/atom
Symmetry = C2/m, No. 12

***

(2)
## Tm3Sn2Ru (GGA-PBE)

Data for Tm3Sn2Ru after structural relaxation.

abc: 12.3348 4.3191 11.3583
angles: 90.00 90.00 90.00
Sites, in units of the cell vectors:
Tm: 0.0559 0.2500 0.1263
Tm: 0.1210 0.7500 0.5440
Tm: 0.2489 0.2500 0.7822
Tm: 0.2511 0.7500 0.2822
Tm: 0.3790 0.2500 0.0440
Tm: 0.4441 0.7500 0.6263
Tm: 0.5559 0.2500 0.3737
Tm: 0.6210 0.7500 0.9560
Tm: 0.7489 0.2500 0.7178
Tm: 0.7511 0.7500 0.2178
Tm: 0.8790 0.2500 0.4560
Tm: 0.9441 0.7500 0.8737
Sn: 0.0086 0.2500 0.6952
Sn: 0.1880 0.7500 0.9914
Sn: 0.3120 0.2500 0.4914
Sn: 0.4914 0.7500 0.1952
Sn: 0.5086 0.2500 0.8048
Sn: 0.6880 0.7500 0.5086
Sn: 0.8120 0.2500 0.0086
Sn: 0.9914 0.7500 0.3048
Ru: 0.1239 0.2500 0.3658
Ru: 0.3761 0.7500 0.8658
Ru: 0.6239 0.2500 0.1342
Ru: 0.8761 0.7500 0.6342

Values from the calculation:
Formation enthalpy at 0 K = -3.66 eV/f.u.
Energy = -5.726 eV/atom
V = 25.213 A^3/atom
Symmetry = Pnma, No. 62

***

(3)
## Tm2SnRu (GGA-PBE)

Data for Tm2SnRu after structural relaxation.

abc: 9.2387 9.2387 9.2387
angles: 21.72 21.72 21.72
Sites, in units of the cell vectors:
Tm: 0.2374 0.2374 0.2374
Tm: 0.7626 0.7626 0.7626
Sn: 0.0000 0.0000 0.0000
Ru: 0.5000 0.5000 0.5000

Values from the calculation:
Formation enthalpy at 0 K = -1.43 eV/f.u.
Distance to the lowest polymorph of the same formula = 240 meV per atom
Energy = -5.912 eV/atom
V = 23.671 A^3/atom
Symmetry = R-3m, No. 166

***

(4)
## Tm5SnRu3 (GGA-PBE)

Data for Tm5SnRu3 after structural relaxation.

abc: 7.4290 7.4290 9.6871
angles: 106.87 106.87 72.60
Sites, in units of the cell vectors:
Tm: 0.0415 0.0415 0.3484
Tm: 0.1316 0.5183 0.3514
Tm: 0.2022 0.7978 0.0000
Tm: 0.2640 0.2640 0.9500
Tm: 0.4817 0.8684 0.6486
Tm: 0.5183 0.1316 0.3514
Tm: 0.7360 0.7360 0.0500
Tm: 0.7978 0.2022 0.0000
Tm: 0.8684 0.4817 0.6486
Tm: 0.9585 0.9585 0.6516
Sn: 0.4188 0.4188 0.7112
Sn: 0.5812 0.5812 0.2888
Ru: 0.1632 0.1632 0.1640
Ru: 0.1811 0.1811 0.6398
Ru: 0.5000 0.5000 0.0000
Ru: 0.5000 0.5000 0.5000
Ru: 0.8189 0.8189 0.3602
Ru: 0.8368 0.8368 0.8360

Values from the calculation:
Formation enthalpy at 0 K = -2.03 eV/f.u.
Energy = -6.247 eV/atom
V = 26.441 A^3/atom
Symmetry = C2/m, No. 12